# 1
## Sr2PPd2 (PBE)

Data for an optimized crystal structure of Sr2PPd2.

a b c (Å): 7.163 7.163 4.485
angles (deg): 90.00 90.00 90.00
Positions (direct):
Sr (0.179, 0.321, 0.000)
Sr (0.321, 0.821, 0.000)
Sr (0.679, 0.179, 0.000)
Sr (0.821, 0.679, 0.000)
P (0.000, 0.000, 0.500)
P (0.500, 0.500, 0.500)
Pd (0.138, 0.638, 0.500)
Pd (0.362, 0.138, 0.500)
Pd (0.638, 0.862, 0.500)
Pd (0.862, 0.362, 0.500)

Summary:
* energy above the lowest structure with this stoichiometry: 0.007 eV per atom
* V: 230.08 Å³ per cell
* ΔH_f (0 K): -546.5 meV/atom
* total magnetization: 0.00 μB/f.u.

=====

# 2
## SrP3Pd5 (PBE)

Data for an optimized crystal structure of SrP3Pd5.

a b c (Å): 6.634 6.634 12.731
angles (deg): 90.00 90.00 146.12
Positions (direct):
Sr (0.149, 0.851, 0.750)
Sr (0.851, 0.149, 0.250)
P (0.125, 0.875, 0.250)
P (0.388, 0.612, 0.042)
P (0.388, 0.612, 0.458)
P (0.612, 0.388, 0.542)
P (0.612, 0.388, 0.958)
P (0.875, 0.125, 0.750)
Pd (0.000, 0.000, 0.000)
Pd (0.000, 0.000, 0.500)
Pd (0.211, 0.789, 0.078)
Pd (0.211, 0.789, 0.422)
Pd (0.442, 0.558, 0.645)
Pd (0.442, 0.558, 0.855)
Pd (0.558, 0.442, 0.145)
Pd (0.558, 0.442, 0.355)
Pd (0.789, 0.211, 0.578)
Pd (0.789, 0.211, 0.922)

Summary:
* V: 312.35 Å³ per cell
* ΔH_f (0 K): -651.5 meV/atom
* total magnetization: 0.00 μB/f.u.

=====

# 3
## SrPPd3 (PBE)

Data for an optimized crystal structure of SrPPd3.

a b c (Å): 7.754 7.754 6.726
angles (deg): 115.23 115.23 33.07
Positions (direct):
Sr (0.155, 0.155, 0.266)
Sr (0.845, 0.845, 0.734)
P (0.476, 0.476, 0.147)
P (0.524, 0.524, 0.853)
Pd (0.068, 0.068, 0.753)
Pd (0.304, 0.304, 0.031)
Pd (0.404, 0.404, 0.488)
Pd (0.596, 0.596, 0.512)
Pd (0.696, 0.696, 0.969)
Pd (0.932, 0.932, 0.247)

Summary:
* energy above the lowest structure with this stoichiometry: 0.236 eV per atom
* V: 197.64 Å³ per cell
* ΔH_f (0 K): -553.3 meV/atom
* total magnetization: 0.00 μB/f.u.

=====

# 4
## SrPPd3 (PBE)

Data for an optimized crystal structure of SrPPd3.

a b c (Å): 8.460 8.460 8.460
angles (deg): 142.57 142.57 53.97
Positions (direct):
Sr (0.156, 0.156, 0.000)
Sr (0.844, 0.844, 0.000)
P (0.500, 0.500, 0.000)
P (0.750, 0.250, 0.500)
Pd (0.037, 0.537, 0.500)
Pd (0.128, 0.376, 0.752)
Pd (0.463, 0.963, 0.500)
Pd (0.623, 0.376, 0.248)
Pd (0.624, 0.377, 0.752)
Pd (0.624, 0.872, 0.248)

Summary:
* energy above the lowest structure with this stoichiometry: 0.258 eV per atom
* V: 222.16 Å³ per cell
* ΔH_f (0 K): -530.9 meV/atom
* total magnetization: 0.00 μB/f.u.

=====

# 5
## SrPPd3 (PBE)

Data for an optimized crystal structure of SrPPd3.

a b c (Å): 3.889 3.889 7.295
angles (deg): 90.00 90.00 90.00
Positions (direct):
Sr (0.000, 0.000, 0.000)
P (0.500, 0.500, 0.533)
Pd (0.000, 0.000, 0.611)
Pd (0.000, 0.500, 0.328)
Pd (0.500, 0.000, 0.328)

Summary:
* energy above the lowest structure with this stoichiometry: 0.529 eV per atom
* V: 110.32 Å³ per cell
* ΔH_f (0 K): -259.7 meV/atom
* total magnetization: 0.00 μB/f.u.

=====

# 6
## SrPPd3 (PBE)

Data for an optimized crystal structure of SrPPd3.

a b c (Å): 4.439 4.817 4.817
angles (deg): 74.92 90.00 90.00
Positions (direct):
Sr (0.000, 0.000, 0.000)
P (0.500, 0.519, 0.519)
Pd (0.000, 0.407, 0.407)
Pd (0.500, 0.010, 0.507)
Pd (0.500, 0.507, 0.010)

Summary:
* energy above the lowest structure with this stoichiometry: 0.065 eV per atom
* V: 99.46 Å³ per cell
* ΔH_f (0 K): -723.5 meV/atom
* total magnetization: 0.00 μB/f.u.

=====

# 7
## Sr2P3Pd3 (PBE)

Data for an optimized crystal structure of Sr2P3Pd3.

a b c (Å): 17.505 17.505 17.505
angles (deg): 166.12 166.01 19.76
Positions (direct):
Sr (0.073, 0.073, 0.000)
Sr (0.178, 0.678, 0.500)
Sr (0.822, 0.322, 0.500)
Sr (0.927, 0.927, 0.000)
P (0.289, 0.789, 0.500)
P (0.354, 0.854, 0.500)
P (0.460, 0.460, 0.000)
P (0.540, 0.540, 0.000)
P (0.646, 0.146, 0.500)
P (0.711, 0.211, 0.500)
Pd (0.000, 0.500, 0.500)
Pd (0.251, 0.251, 0.000)
Pd (0.390, 0.390, 0.000)
Pd (0.500, 0.000, 0.500)
Pd (0.610, 0.610, 0.000)
Pd (0.749, 0.749, 0.000)

Summary:
* V: 311.07 Å³ per cell
* ΔH_f (0 K): -905.0 meV/atom
* total magnetization: 0.00 μB/f.u.

=====

# 8
## SrP2Pd6 (PBE)

Data for an optimized crystal structure of SrP2Pd6.

a b c (Å): 6.167 6.167 5.576
angles (deg): 90.00 90.00 120.00
Positions (direct):
Sr (0.000, 0.000, 0.000)
P (0.333, 0.667, 0.500)
P (0.667, 0.333, 0.500)
Pd (0.000, 0.500, 0.241)
Pd (0.000, 0.500, 0.759)
Pd (0.500, 0.000, 0.241)
Pd (0.500, 0.000, 0.759)
Pd (0.500, 0.500, 0.241)
Pd (0.500, 0.500, 0.759)

Summary:
* energy above the lowest structure with this stoichiometry: 0.000 eV per atom
* V: 183.66 Å³ per cell
* ΔH_f (0 K): -528.9 meV/atom
* total magnetization: 0.00 μB/f.u.

=====

# 9
## SrP2Pd8 (PBE)

Data for an optimized crystal structure of SrP2Pd8.

a b c (Å): 5.484 5.484 7.894
angles (deg): 90.00 90.00 90.00
Positions (direct):
Sr (0.000, 0.000, 0.000)
P (0.000, 0.500, 0.500)
P (0.500, 0.000, 0.500)
Pd (0.252, 0.252, 0.320)
Pd (0.252, 0.252, 0.680)
Pd (0.252, 0.748, 0.320)
Pd (0.252, 0.748, 0.680)
Pd (0.748, 0.252, 0.320)
Pd (0.748, 0.252, 0.680)
Pd (0.748, 0.748, 0.320)
Pd (0.748, 0.748, 0.680)

Summary:
* V: 237.45 Å³ per cell
* ΔH_f (0 K): -248.6 meV/atom
* total magnetization: 0.00 μB/f.u.

=====

# 10
## SrPPd2 (PBE)

Data for an optimized crystal structure of SrPPd2.

a b c (Å): 5.810 5.810 7.093
angles (deg): 90.00 90.00 138.02
Positions (direct):
Sr (0.053, 0.947, 0.750)
Sr (0.947, 0.053, 0.250)
P (0.226, 0.774, 0.250)
P (0.774, 0.226, 0.750)
Pd (0.330, 0.670, 0.557)
Pd (0.330, 0.670, 0.943)
Pd (0.670, 0.330, 0.057)
Pd (0.670, 0.330, 0.443)

Summary:
* V: 160.13 Å³ per cell
* ΔH_f (0 K): -740.2 meV/atom
* total magnetization: 0.00 μB/f.u.

=====

# 11
## SrP4Pd6 (PBE)

Data for an optimized crystal structure of SrP4Pd6.

a b c (Å): 6.387 6.387 6.387
angles (deg): 116.82 116.82 95.60
Positions (direct):
Sr (0.000, 0.000, 0.000)
P (0.150, 0.568, 0.000)
P (0.432, 0.432, 0.582)
P (0.568, 0.150, 0.000)
P (0.850, 0.850, 0.418)
Pd (0.000, 0.500, 0.500)
Pd (0.214, 0.214, 0.698)
Pd (0.484, 0.786, 0.000)
Pd (0.500, 0.000, 0.500)
Pd (0.516, 0.516, 0.302)
Pd (0.786, 0.484, 0.000)

Summary:
* V: 192.08 Å³ per cell
* ΔH_f (0 K): -521.9 meV/atom
* total magnetization: 0.00 μB/f.u.

=====

# 12
## Sr2P2Pd (PBE)

Data for an optimized crystal structure of Sr2P2Pd.

a b c (Å): 5.561 5.561 5.561
angles (deg): 114.72 114.72 99.42
Positions (direct):
Sr (0.250, 0.750, 0.500)
Sr (0.750, 0.250, 0.500)
P (0.167, 0.167, 0.000)
P (0.833, 0.833, 0.000)
Pd (0.500, 0.500, 0.000)

Summary:
* energy above the lowest structure with this stoichiometry: 0.415 eV per atom
* V: 129.43 Å³ per cell
* ΔH_f (0 K): -565.8 meV/atom
* total magnetization: 0.00 μB/f.u.

=====

What did the twelfth record say?
## Sr2P2Pd (PBE)

Data for an optimized crystal structure of Sr2P2Pd.

a b c (Å): 5.561 5.561 5.561
angles (deg): 114.72 114.72 99.42
Positions (direct):
Sr (0.250, 0.750, 0.500)
Sr (0.750, 0.250, 0.500)
P (0.167, 0.167, 0.000)
P (0.833, 0.833, 0.000)
Pd (0.500, 0.500, 0.000)

Summary:
* energy above the lowest structure with this stoichiometry: 0.415 eV per atom
* V: 129.43 Å³ per cell
* ΔH_f (0 K): -565.8 meV/atom
* total magnetization: 0.00 μB/f.u.

=====

V of number 4 (SrPPd3)?
222.16 Å³ per cell

=====

Number 7 is which compound?
Sr2P3Pd3